Material: LaTb5Sb4
Method: DFT, GGA-PBE
State: relaxed

Unit cell a=9.7273 b=9.7273 c=8.6012 alpha=105.89 beta=105.89 gamma=26.03
Fractional positions:
1 La 0.0000 0.0000 0.0000
2 Tb 0.0000 0.0000 0.5000
3 Tb 0.3215 0.3215 0.6526
4 Tb 0.3396 0.3396 0.1719
5 Tb 0.6604 0.6604 0.8281
6 Tb 0.6785 0.6785 0.3474
7 Sb 0.1738 0.1738 0.0919
8 Sb 0.4896 0.4896 0.7320
9 Sb 0.5104 0.5104 0.2680
10 Sb 0.8262 0.8262 0.9081

=====

Material: LaTb5Sb6
Method: DFT, GGA-PBE
State: relaxed

Unit cell a=7.6953 b=7.6953 c=7.6946 alpha=99.61 beta=99.61 gamma=120.01
Fractional positions:
1 La 0.0000 0.0000 0.0000
2 Tb 0.1640 0.8360 0.5000
3 Tb 0.3324 0.6676 0.0000
4 Tb 0.5000 0.5000 0.5000
5 Tb 0.6676 0.3324 0.0000
6 Tb 0.8360 0.1640 0.5000
7 Sb 0.0852 0.4251 0.2550
8 Sb 0.2562 0.2562 0.7477
9 Sb 0.4251 0.0852 0.2550
10 Sb 0.5749 0.9148 0.7450
11 Sb 0.7438 0.7438 0.2523
12 Sb 0.9148 0.5749 0.7450

=====

Results for raw formation energy: -0.75, -1.16 (in eV/atom, following the order of the records).